Record 1
## PbSe2Cl (PBE)

Data for a relaxed PbSe2Cl crystal.

abc: 7.2853 7.2853 7.2853
angles: 90.00 90.00 90.00
Last column: nearest neighbours and their distance in Å.
Space group Fm-3m (No. 225)
One atom of each set of equivalent atoms:
Pb 0.0000 0.0000 0.0000  8 Se 3.15
Se 0.2500 0.2500 0.2500  4 Cl 3.15, 4 Pb 3.15
Cl 0.0000 0.0000 0.5000  8 Se 3.15

Properties
volume = 24.17 Å³/atom
ΔE_f (raw) = 186 meV/atom

=====

Record 2
## PaAg2Sn (PBE)

Data for a relaxed PaAg2Sn crystal.

abc: 4.4395 4.4395 4.6882
angles: 90.00 90.00 90.00
Last column: nearest neighbours and their distance in Å.
Space group P4/mmm (No. 123)
One atom of each set of equivalent atoms:
Pa 0.0000 0.0000 0.0000  4 Sn 3.14, 8 Ag 3.23
Ag 0.0000 0.5000 0.5000  4 Ag 3.14, 4 Sn 3.23, 4 Pa 3.23
Sn 0.5000 0.5000 0.0000  4 Pa 3.14, 8 Ag 3.23

Properties
ΔH_f (0 K) = 0.10 eV/atom
volume = 23.10 Å³/atom

=====

Record 3
## CsLaSb3 (PBE)

Data for a relaxed CsLaSb3 crystal.

abc: 5.9030 5.9030 5.9030
angles: 90.00 90.00 90.00
Last column: nearest neighbours and their distance in Å.
Space group Pm-3m (No. 221)
One atom of each set of equivalent atoms:
Cs 0.0000 0.0000 0.0000  6 Sb 2.95
La 0.5000 0.5000 0.5000  12 Sb 4.17
Sb 0.0000 0.0000 0.5000  2 Cs 2.95

Properties
volume = 41.14 Å³/atom
ΔE_f (raw) = 845 meV/atom

=====

no.,uncorrected energy (eV/atom)
1,-2.945
2,-4.700
3,-2.784